Entry from Alexandria via LeMat-Bulk: a geometry-optimized Ba2TlN structure (GGA-PBE).

Cell: 5.6591 11.5163 8.6400 Å, 90.00 90.00 90.00°
With the nearest neighbours (Å) after each atom.
Sites, in units of the cell vectors:
Ba  0.2500  0.0934  0.0000  1 N 2.53
Ba  0.2500  0.4066  0.5000  1 N 2.53
Ba  0.2500  0.7092  0.1805  2 N 2.63-2.68
Ba  0.2500  0.7908  0.6805  2 N 2.63-2.68
Ba  0.7500  0.2092  0.6805  2 N 2.63-2.68
Ba  0.7500  0.2908  0.1805  2 N 2.63-2.68
Ba  0.7500  0.5934  0.5000  1 N 2.53
Ba  0.7500  0.9066  0.0000  1 N 2.53
Tl  0.2500  0.0611  0.4276  2 Tl 3.16
Tl  0.2500  0.4389  0.9276  2 Tl 3.16
Tl  0.7500  0.5611  0.9276  2 Tl 3.16
Tl  0.7500  0.9389  0.4276  2 Tl 3.16
N  0.2500  0.6246  0.4628  3 Ba 2.53-2.68
N  0.2500  0.8754  0.9628  3 Ba 2.53-2.68
N  0.7500  0.1246  0.9628  3 Ba 2.53-2.68
N  0.7500  0.3754  0.4628  3 Ba 2.53-2.68

Properties
raw formation energy = -0.241 eV per atom
magnetization = 0.0 μB/cell
D(E_F) = 0.747 states/eV per atom



Entry from Alexandria via LeMat-Bulk: a geometry-optimized Sm2Dy4C structure (GGA-PBE).

Cell: 18.1305 18.1305 18.1305 Å, 11.35 11.35 11.35°
With the nearest neighbours (Å) after each atom.
Sites, in units of the cell vectors:
Sm  0.2455  0.2455  0.2455  3 Dy 3.50, 6 Sm 3.59
Sm  0.7545  0.7545  0.7545  3 Dy 3.50, 6 Sm 3.59
Dy  0.1401  0.1401  0.1401  3 Sm 3.50, 9 Dy 3.54-3.59
Dy  0.3584  0.3584  0.3584  3 C 2.47
Dy  0.6416  0.6416  0.6416  3 C 2.47
Dy  0.8599  0.8599  0.8599  3 Sm 3.50, 9 Dy 3.54-3.59
C  0.0000  0.0000  0.0000  6 Dy 2.47

Properties
magnetization = 0.0 μB/cell
energy relative to the elements = -0.108 eV per atom
D(E_F) = 0.984 states/eV per atom



Entry from Alexandria via LeMat-Bulk: a geometry-optimized SrY2Ta structure (GGA-PBE).

Cell: 10.8354 3.3259 6.9795 Å, 90.00 95.22 90.00°
With the nearest neighbours (Å) after each atom.
Sites, in units of the cell vectors:
Sr  0.0000  0.0000  0.0000  2 Sr 3.33, 3 Y 3.54-3.56, 3 Ta 3.59-3.67
Sr  0.5000  0.5000  0.0000  2 Sr 3.33, 3 Y 3.54-3.56, 3 Ta 3.59-3.67
Y  0.0148  0.5000  0.5543  3 Ta 3.11-3.14, 5 Y 3.26-3.48
Y  0.2619  0.5000  0.3204  2 Ta 3.12, 5 Y 3.26-3.48
Y  0.5148  0.0000  0.5543  3 Ta 3.11-3.14, 5 Y 3.26-3.48
Y  0.7619  0.0000  0.3204  2 Ta 3.12, 5 Y 3.26-3.48
Ta  0.2511  0.0000  0.6974  5 Y 3.11-3.14, 2 Ta 3.33
Ta  0.7511  0.5000  0.6974  5 Y 3.11-3.14, 2 Ta 3.33

Properties
distance to the lowest polymorph of the same formula = 199 meV per atom
magnetization = 0.0 μB/cell
energy relative to the elements = 0.558 eV per atom
D(E_F) = 1.245 states/eV per atom



Entry from Alexandria via LeMat-Bulk: a geometry-optimized CaTl3Rh structure (GGA-PBE).

Cell: 5.2811 5.2811 5.2811 Å, 90.00 90.00 90.00°
With the nearest neighbours (Å) after each atom.
Sites, in units of the cell vectors:
Ca  0.0000  0.0000  0.0000  12 Tl 3.73
Tl  0.0000  0.5000  0.5000  2 Rh 2.64
Tl  0.5000  0.0000  0.5000  2 Rh 2.64
Tl  0.5000  0.5000  0.0000  2 Rh 2.64
Rh  0.5000  0.5000  0.5000  6 Tl 2.64

Properties
distance to the lowest polymorph of the same formula = 135 meV per atom
magnetization = 0.0 μB/cell
energy relative to the elements = -0.029 eV per atom
D(E_F) = 0.850 states/eV per atom



Entry from Alexandria via LeMat-Bulk: a geometry-optimized MgRe3Bi structure (GGA-PBE).

Cell: 4.6464 4.6464 4.6464 Å, 90.00 90.00 90.00°
With the nearest neighbours (Å) after each atom.
Sites, in units of the cell vectors:
Mg  0.0000  0.0000  0.0000  6 Re 2.32
Re  0.0000  0.0000  0.5000  2 Mg 2.32
Re  0.0000  0.5000  0.0000  2 Mg 2.32
Re  0.5000  0.0000  0.0000  2 Mg 2.32
Bi  0.5000  0.5000  0.5000  12 Re 3.29

Properties
distance to the lowest polymorph of the same formula = 0 meV per atom
magnetization = 3.7 μB/cell
energy relative to the elements = 2.395 eV per atom
D(E_F) = 1.307 states/eV per atom



Entry from Alexandria via LeMat-Bulk: a geometry-optimized Tb4Pm4Tl structure (GGA-PBE).

Cell: 8.0047 8.0047 8.0047 Å, 95.52 95.52 143.86°
With the nearest neighbours (Å) after each atom.
Sites, in units of the cell vectors:
Tb  0.1612  0.1612  0.3224  4 Tb 3.47-3.67, 2 Tl 3.49, 6 Pm 3.55-3.65
Tb  0.1612  0.8388  0.0000  4 Tb 3.47-3.67, 2 Tl 3.49, 6 Pm 3.55-3.65
Tb  0.8388  0.1612  0.0000  4 Tb 3.47-3.67, 2 Tl 3.49, 6 Pm 3.55-3.65
Tb  0.8388  0.8388  0.6776  4 Tb 3.47-3.67, 2 Tl 3.49, 6 Pm 3.55-3.65
Pm  0.1660  0.5000  0.6660  5 Pm 3.54-3.57, 6 Tb 3.55-3.65, 1 Tl 3.59
Pm  0.5000  0.1660  0.6660  5 Pm 3.54-3.57, 6 Tb 3.55-3.65, 1 Tl 3.59
Pm  0.5000  0.8340  0.3340  5 Pm 3.54-3.57, 6 Tb 3.55-3.65, 1 Tl 3.59
Pm  0.8340  0.5000  0.3340  5 Pm 3.54-3.57, 6 Tb 3.55-3.65, 1 Tl 3.59
Tl  0.5000  0.5000  0.0000  8 Tb 3.49, 4 Pm 3.59

Properties
magnetization = 0.0 μB/cell
energy relative to the elements = -0.040 eV per atom
D(E_F) = 1.424 states/eV per atom



Entry from Alexandria via LeMat-Bulk: a geometry-optimized Ba2Al4TlZn3 structure (GGA-PBE).

Cell: 4.5924 4.5924 11.3468 Å, 90.00 90.00 90.00°
With the nearest neighbours (Å) after each atom.
Sites, in units of the cell vectors:
Ba  0.0000  0.5000  0.2439  8 Al 3.49-3.60, 6 Zn 3.52-3.70, 2 Tl 3.70
Ba  0.5000  0.0000  0.7561  8 Al 3.49-3.60, 6 Zn 3.52-3.70, 2 Tl 3.70
Al  0.0000  0.0000  0.0000  4 Zn 2.70
Al  0.0000  0.5000  0.6425  3 Zn 2.64-2.81, 2 Tl 2.81
Al  0.5000  0.0000  0.3575  3 Zn 2.64-2.81, 2 Tl 2.81
Al  0.5000  0.5000  0.0000  4 Zn 2.70
Tl  0.0000  0.0000  0.5000  4 Al 2.81
Zn  0.0000  0.5000  0.8750  5 Al 2.64-2.70
Zn  0.5000  0.0000  0.1250  5 Al 2.64-2.70
Zn  0.5000  0.5000  0.5000  4 Al 2.81

Properties
magnetization = 0.0 μB/cell
energy relative to the elements = -0.200 eV per atom
D(E_F) = 0.414 states/eV per atom



Entry from Alexandria via LeMat-Bulk: a geometry-optimized RbPmTa2O7 structure (GGA-PBE).

Cell: 3.8973 3.8973 11.3199 Å, 90.00 90.00 90.00°
With the nearest neighbours (Å) after each atom.
Sites, in units of the cell vectors:
Rb  0.0000  0.0000  0.0000  8 O 3.19
Pm  0.0000  0.0000  0.5000  12 O 2.65-2.76
Ta  0.5000  0.5000  0.3014  5 O 1.81-2.00
Ta  0.5000  0.5000  0.6986  5 O 1.81-2.00
O  0.0000  0.5000  0.3409  2 Ta 2.00
O  0.0000  0.5000  0.6591  2 Ta 2.00
O  0.5000  0.0000  0.3409  2 Ta 2.00
O  0.5000  0.0000  0.6591  2 Ta 2.00
O  0.5000  0.5000  0.1418  1 Ta 1.81
O  0.5000  0.5000  0.5000  2 Ta 2.25
O  0.5000  0.5000  0.8582  1 Ta 1.81

Properties
raw formation energy = -2.894 eV per atom
magnetization = 0.0 μB/cell
D(E_F) = 0.000 states/eV per atom



Entry from Alexandria via LeMat-Bulk: a geometry-optimized Pm3Sm2Hg structure (GGA-PBE).

Cell: 6.2192 6.2192 11.6071 Å, 95.18 95.18 120.18°
With the nearest neighbours (Å) after each atom.
Sites, in units of the cell vectors:
Pm  0.0782  0.4215  0.7589  2 Hg 3.42-3.44, 4 Sm 3.48-3.63, 6 Pm 3.53-3.70
Pm  0.2370  0.2370  0.2406  2 Hg 3.42, 4 Sm 3.48-3.61, 6 Pm 3.54-3.68
Pm  0.4215  0.0782  0.7589  2 Hg 3.42-3.44, 4 Sm 3.48-3.63, 6 Pm 3.53-3.70
Pm  0.5785  0.9218  0.2411  2 Hg 3.42-3.44, 4 Sm 3.48-3.63, 6 Pm 3.53-3.70
Pm  0.7630  0.7630  0.7594  2 Hg 3.42, 4 Sm 3.48-3.61, 6 Pm 3.54-3.68
Pm  0.9218  0.5785  0.2411  2 Hg 3.42-3.44, 4 Sm 3.48-3.63, 6 Pm 3.53-3.70
Sm  0.0000  0.0000  0.5000  6 Sm 3.57-3.62, 6 Pm 3.58-3.63
Sm  0.3362  0.6638  0.5000  6 Sm 3.53-3.62, 6 Pm 3.59-3.62
Sm  0.5000  0.5000  0.0000  6 Pm 3.48, 6 Hg 3.59
Sm  0.6638  0.3362  0.5000  6 Sm 3.53-3.62, 6 Pm 3.59-3.62
Hg  0.1671  0.8329  0.0000  6 Pm 3.42-3.44, 3 Hg 3.58-3.60, 3 Sm 3.59
Hg  0.8329  0.1671  0.0000  6 Pm 3.42-3.44, 3 Hg 3.58-3.60, 3 Sm 3.59

Properties
magnetization = 0.0 μB/cell
energy relative to the elements = -0.064 eV per atom
D(E_F) = 1.131 states/eV per atom



Entry from Alexandria via LeMat-Bulk: a geometry-optimized InSi2 structure (GGA-PBE).

Cell: 7.9601 7.9601 3.6683 Å, 90.00 90.00 120.00°
With the nearest neighbours (Å) after each atom.
Sites, in units of the cell vectors:
In  0.0000  0.0000  0.0000  6 Si 2.95
In  0.3333  0.6667  0.5000  9 Si 2.84-2.94
In  0.6667  0.3333  0.5000  9 Si 2.84-2.94
Si  0.0000  0.2907  0.5000  2 Si 2.41
Si  0.0000  0.4876  0.0000  2 Si 2.41
Si  0.2907  0.0000  0.5000  2 Si 2.41
Si  0.4876  0.0000  0.0000  2 Si 2.41
Si  0.5124  0.5124  0.0000  2 Si 2.41
Si  0.7093  0.7093  0.5000  2 Si 2.41

Properties
raw formation energy = 0.529 eV per atom
distance to the lowest polymorph of the same formula = 294 meV per atom
magnetization = 0.0 μB/cell
D(E_F) = 0.363 states/eV per atom



Entry from Alexandria via LeMat-Bulk: a geometry-optimized MnTl2Pd7 structure (GGA-PBE).

Cell: 9.1555 9.1555 2.8947 Å, 90.00 90.00 126.83°
With the nearest neighbours (Å) after each atom.
Sites, in units of the cell vectors:
Mn  0.0000  0.0000  0.0000  10 Pd 2.66-2.94, 2 Mn 2.89
Tl  0.3236  0.6764  0.5000  5 Pd 2.77-2.89, 2 Tl 2.89
Tl  0.6764  0.3236  0.5000  5 Pd 2.77-2.89, 2 Tl 2.89
Pd  0.1284  0.2976  0.5000  2 Mn 2.66, 6 Pd 2.73-2.89, 1 Tl 2.79
Pd  0.1795  0.8205  0.0000  6 Pd 2.75-2.89, 2 Tl 2.77, 1 Mn 2.94
Pd  0.2976  0.1284  0.5000  2 Mn 2.66, 6 Pd 2.73-2.89, 1 Tl 2.79
Pd  0.5000  0.5000  0.5000  6 Pd 2.73-2.89, 2 Tl 2.89
Pd  0.7024  0.8716  0.5000  2 Mn 2.66, 6 Pd 2.73-2.89, 1 Tl 2.79
Pd  0.8205  0.1795  0.0000  6 Pd 2.75-2.89, 2 Tl 2.77, 1 Mn 2.94
Pd  0.8716  0.7024  0.5000  2 Mn 2.66, 6 Pd 2.73-2.89, 1 Tl 2.79

Properties
magnetization = 4.8 μB/cell
energy relative to the elements = 0.091 eV per atom
D(E_F) = 0.877 states/eV per atom



Entry from Alexandria via LeMat-Bulk: a geometry-optimized CoBi2MoH structure (GGA-PBE).

Cell: 4.9106 4.9106 3.5368 Å, 90.00 90.00 90.00°
With the nearest neighbours (Å) after each atom.
Sites, in units of the cell vectors:
Co  0.0000  0.0000  0.0000  8 Bi 3.03
Bi  0.0000  0.5000  0.5000  2 H 2.46
Bi  0.5000  0.0000  0.5000  2 H 2.46
Mo  0.5000  0.5000  0.0000  2 H 1.77
H  0.5000  0.5000  0.5000  2 Mo 1.77

Properties
total DFT energy (no corrections) = -5.166 eV/atom
magnetization = 0.9 μB/cell
D(E_F) = 0.911 states/eV per atom



Entry from Alexandria via LeMat-Bulk: a geometry-optimized Li2ErSn2 structure (GGA-PBE).

Cell: 7.8973 4.5679 6.8105 Å, 90.00 112.61 90.00°
With the nearest neighbours (Å) after each atom.
Sites, in units of the cell vectors:
Li  0.1878  0.0000  0.0626  3 Li 2.75, 3 Sn 2.84
Li  0.3122  0.5000  0.9374  3 Li 2.75, 3 Sn 2.84
Li  0.6878  0.5000  0.0626  3 Li 2.75, 3 Sn 2.84
Li  0.8122  0.0000  0.9374  3 Li 2.75, 3 Sn 2.84
Er  0.0000  0.0000  0.5000  6 Sn 3.13
Er  0.5000  0.5000  0.5000  6 Sn 3.13
Sn  0.0778  0.5000  0.2318  3 Li 2.84, 1 Sn 2.91, 3 Er 3.13
Sn  0.4222  0.0000  0.7682  3 Li 2.84, 1 Sn 2.91, 3 Er 3.13
Sn  0.5778  0.0000  0.2318  3 Li 2.84, 1 Sn 2.91, 3 Er 3.13
Sn  0.9222  0.5000  0.7682  3 Li 2.84, 1 Sn 2.91, 3 Er 3.13

Properties
distance to the lowest polymorph of the same formula = 0 meV per atom
magnetization = 0.0 μB/cell
energy relative to the elements = -0.477 eV per atom
D(E_F) = 0.342 states/eV per atom



Entry from Alexandria via LeMat-Bulk: a geometry-optimized LiPmYAl structure (GGA-PBE).

Cell: 7.3886 7.3886 7.3886 Å, 90.00 90.00 90.00°
With the nearest neighbours (Å) after each atom.
Sites, in units of the cell vectors:
Li  0.0000  0.0000  0.0000  4 Pm 3.20, 4 Y 3.20
Li  0.0000  0.5000  0.5000  4 Pm 3.20, 4 Y 3.20
Li  0.5000  0.0000  0.5000  4 Pm 3.20, 4 Y 3.20
Li  0.5000  0.5000  0.0000  4 Pm 3.20, 4 Y 3.20
Pm  0.2500  0.2500  0.2500  4 Li 3.20, 4 Al 3.20
Pm  0.2500  0.7500  0.7500  4 Li 3.20, 4 Al 3.20
Pm  0.7500  0.2500  0.7500  4 Li 3.20, 4 Al 3.20
Pm  0.7500  0.7500  0.2500  4 Li 3.20, 4 Al 3.20
Y  0.2500  0.2500  0.7500  4 Li 3.20, 4 Al 3.20
Y  0.2500  0.7500  0.2500  4 Li 3.20, 4 Al 3.20
Y  0.7500  0.2500  0.2500  4 Li 3.20, 4 Al 3.20
Y  0.7500  0.7500  0.7500  4 Li 3.20, 4 Al 3.20
Al  0.0000  0.0000  0.5000  4 Y 3.20, 4 Pm 3.20
Al  0.0000  0.5000  0.0000  4 Y 3.20, 4 Pm 3.20
Al  0.5000  0.0000  0.0000  4 Y 3.20, 4 Pm 3.20
Al  0.5000  0.5000  0.5000  4 Pm 3.20, 4 Y 3.20

Properties
magnetization = 0.0 μB/cell
energy relative to the elements = -0.219 eV per atom
D(E_F) = 1.069 states/eV per atom